Entry from Alexandria: crystalline YReCl2 at its relaxed geometry (GGA-PBE).

Calculated values
Total moment = 1.000 μB per atom
E_tot = -5.211 eV per atom
Crystal system = cubic

Cell lengths 7.1009, 7.1009, 7.1009 Å; angles 90.00, 90.00, 90.00 degrees
Closest atoms and distances in Å follow each position.
Space group F-43m (No. 216)
One atom of each set of equivalent atoms:
1 Y 0.0000 0.0000 0.0000 [4 per cell]  4 Cl 3.07, 4 Re 3.07
2 Re 0.2500 0.2500 0.7500 [4 per cell]  4 Cl 3.07, 4 Y 3.07
3 Cl 0.0000 0.0000 0.5000 [4 per cell]  4 Cl 3.07, 4 Re 3.07
4 Cl 0.2500 0.2500 0.2500 [4 per cell]  4 Cl 3.07, 4 Y 3.07

---

Entry from Alexandria: crystalline Ba8P3PtBr4 at its relaxed geometry (GGA-PBE).

Calculated values
Total moment = 0.055 μB per atom
E_tot = -4.245 eV per atom
Crystal system = trigonal

Cell lengths 9.3742, 9.3742, 23.9996 Å; angles 90.00, 90.00, 120.00 degrees
Closest atoms and distances in Å follow each position.
Space group R-3m (No. 166, hexagonal axes)
One atom of each set of equivalent atoms:
1 Ba 0.0000 0.0000 0.2381 [6 per cell]  3 P 3.20, 3 Br 3.54
2 Ba 0.0014 0.5007 0.7625 [18 per cell]  2 P 3.19, 1 Pt 3.20, 3 Br 3.54-3.56
3 P 0.0000 0.5000 0.5000 [9 per cell]  6 Ba 3.19-3.20
4 Pt 0.0000 0.0000 0.5000 [3 per cell]  6 Ba 3.20
5 Br 0.0000 0.0000 0.0000 [3 per cell]  6 Ba 3.54
6 Br 0.0000 0.5000 0.0000 [9 per cell]  6 Ba 3.54-3.56

---

no.,formation energy without anion corrections (kcal/mol of atoms)
1,10.16
2,-33.98